Entry from the Alexandria database: an optimized crystal structure of In3NiO (PBE with a Hubbard U).

Calculated values
- Polymorph energy (0 for the lowest one): 0 meV/atom
- Crystal system: cubic
- E_tot: -2.82 eV per atom

Lattice parameters (Å, degrees): 4.682 4.682 4.682 90.00 90.00 90.00
Space group Pm-3m (No. 221)
Inequivalent atoms, fractional coordinates:
1 In 0.000 0.000 0.500 (multiplicity 3)
2 Ni 0.500 0.500 0.500 (multiplicity 1)
3 O 0.000 0.000 0.000 (multiplicity 1)